(1)
A relaxed Er4HfIn5 crystal. Source: Alexandria via LeMat-Bulk, functional PBE.

The structure in POSCAR format:
```
Er4HfIn5
1.0
3.4859 0.0000 0.0000
0.0000 3.4859 0.0000
0.0000 0.0000 20.5739
Er Hf In
4 1 5
direct
0.0000 0.0000 0.1023 Er
0.0000 0.0000 0.3057 Er
0.0000 0.0000 0.6943 Er
0.0000 0.0000 0.8977 Er
0.0000 0.0000 0.5000 Hf
0.5000 0.5000 0.0000 In
0.5000 0.5000 0.2040 In
0.5000 0.5000 0.4078 In
0.5000 0.5000 0.5922 In
0.5000 0.5000 0.7960 In
```

Results
- ΔE_f (meV per atom) = -349
- VASP energy (eV/atom) = -4.539



(2)
A relaxed ErHfIn2 crystal. Source: Alexandria via LeMat-Bulk, functional PBE.

The structure in POSCAR format:
```
ErHfIn2
1.0
3.3702 0.0000 0.0000
-1.6851 2.9187 0.0000
0.0000 0.0000 30.2666
Er Hf In
3 3 6
direct
0.0000 0.0000 0.0000 Er
0.3333 0.6667 0.6667 Er
0.6667 0.3333 0.3333 Er
0.0000 0.0000 0.5000 Hf
0.3333 0.6667 0.1667 Hf
0.6667 0.3333 0.8333 Hf
0.0000 0.0000 0.2470 In
0.0000 0.0000 0.7530 In
0.3333 0.6667 0.4197 In
0.3333 0.6667 0.9136 In
0.6667 0.3333 0.0864 In
0.6667 0.3333 0.5803 In
```

Results
- ΔE_f (meV per atom) = -120
- VASP energy (eV/atom) = -5.118



(3)
A relaxed ErHfIn2 crystal. Source: Alexandria via LeMat-Bulk, functional PBE.

The structure in POSCAR format:
```
ErHfIn2
1.0
4.6436 0.0000 0.0000
0.0000 4.6436 0.0000
0.0000 0.0000 4.3777
Er Hf In
1 1 2
direct
0.0000 0.0000 0.0000 Er
0.5000 0.5000 0.0000 Hf
0.0000 0.5000 0.5000 In
0.5000 0.0000 0.5000 In
```

Results
- ΔE_f (meV per atom) = -221
- VASP energy (eV/atom) = -5.219



(4)
A relaxed Er2Hf2In3 crystal. Source: Alexandria via LeMat-Bulk, functional PBE.

The structure in POSCAR format:
```
Er2Hf2In3
1.0
4.6865 0.0000 0.0000
0.0000 22.5600 0.0000
0.0000 0.0000 3.2081
Er Hf In
4 4 6
direct
0.0000 0.0742 0.0000 Er
0.0000 0.9258 0.0000 Er
0.5000 0.4258 0.0000 Er
0.5000 0.5742 0.0000 Er
0.0000 0.2113 0.0000 Hf
0.0000 0.7887 0.0000 Hf
0.5000 0.2887 0.0000 Hf
0.5000 0.7113 0.0000 Hf
0.0000 0.3430 0.5000 In
0.0000 0.5000 0.5000 In
0.0000 0.6570 0.5000 In
0.5000 0.0000 0.5000 In
0.5000 0.1570 0.5000 In
0.5000 0.8430 0.5000 In
```

Results
- ΔE_f (meV per atom) = -143
- VASP energy (eV/atom) = -5.464



(5)
A relaxed Er12HfIn3 crystal. Source: Alexandria via LeMat-Bulk, functional PBE.

The structure in POSCAR format:
```
Er12HfIn3
1.0
4.7916 0.0000 0.0000
0.0000 4.7916 0.0000
0.0000 0.0000 19.3787
Er Hf In
12 1 3
direct
0.0000 0.0000 0.0000 Er
0.0000 0.0000 0.2485 Er
0.0000 0.0000 0.5000 Er
0.0000 0.0000 0.7515 Er
0.0000 0.5000 0.1245 Er
0.0000 0.5000 0.3768 Er
0.0000 0.5000 0.6232 Er
0.0000 0.5000 0.8755 Er
0.5000 0.0000 0.1245 Er
0.5000 0.0000 0.3768 Er
0.5000 0.0000 0.6232 Er
0.5000 0.0000 0.8755 Er
0.5000 0.5000 0.5000 Hf
0.5000 0.5000 0.0000 In
0.5000 0.5000 0.2472 In
0.5000 0.5000 0.7528 In
```

Results
- ΔE_f (meV per atom) = -175
- VASP energy (eV/atom) = -4.733



(6)
A relaxed ErHfZnIn crystal. Source: Alexandria via LeMat-Bulk, functional PBE.

The structure in POSCAR format:
```
ErHfZnIn
1.0
7.0371 0.0000 0.0000
0.0000 7.0371 0.0000
0.0000 0.0000 7.0371
Er Hf Zn In
4 4 4 4
direct
0.0000 0.0000 0.0000 Er
0.0000 0.5000 0.5000 Er
0.5000 0.0000 0.5000 Er
0.5000 0.5000 0.0000 Er
0.0000 0.0000 0.5000 Hf
0.0000 0.5000 0.0000 Hf
0.5000 0.0000 0.0000 Hf
0.5000 0.5000 0.5000 Hf
0.2500 0.2500 0.7500 Zn
0.2500 0.7500 0.2500 Zn
0.7500 0.2500 0.2500 Zn
0.7500 0.7500 0.7500 Zn
0.2500 0.2500 0.2500 In
0.2500 0.7500 0.7500 In
0.7500 0.2500 0.7500 In
0.7500 0.7500 0.2500 In
```

Results
- ΔE_f (meV per atom) = -188
- VASP energy (eV/atom) = -4.820



(7)
A relaxed ErHfIr crystal. Source: Alexandria via LeMat-Bulk, functional PBE.

The structure in POSCAR format:
```
ErHfIr
1.0
6.5596 0.0000 0.0000
0.0000 6.5596 0.0000
0.0000 0.0000 6.5596
Er Hf Ir
4 4 4
direct
0.0000 0.0000 0.0000 Er
0.0000 0.5000 0.5000 Er
0.5000 0.0000 0.5000 Er
0.5000 0.5000 0.0000 Er
0.0000 0.0000 0.5000 Hf
0.0000 0.5000 0.0000 Hf
0.5000 0.0000 0.0000 Hf
0.5000 0.5000 0.5000 Hf
0.2500 0.2500 0.2500 Ir
0.2500 0.7500 0.7500 Ir
0.7500 0.2500 0.7500 Ir
0.7500 0.7500 0.2500 Ir
```

Results
- ΔE_f (meV per atom) = -600
- VASP energy (eV/atom) = -8.392
- energy above the most stable polymorph in this dataset (eV/atom) = 0.152



(8)
A relaxed ErHfIr crystal. Source: Alexandria via LeMat-Bulk, functional PBE.

The structure in POSCAR format:
```
ErHfIr
1.0
0.0000 5.7829 6.0773
4.1257 0.0000 6.0773
4.1257 5.7829 0.0000
Er Hf Ir
4 4 4
direct
0.0000 0.0000 0.0000 Er
0.0000 0.0000 0.5000 Er
0.0000 0.5000 0.0000 Er
0.5000 0.0000 0.0000 Er
0.2430 0.2430 0.5070 Hf
0.4930 0.4930 0.7570 Hf
0.5070 0.5070 0.2430 Hf
0.7570 0.7570 0.4930 Hf
0.1896 0.5604 0.1896 Ir
0.4396 0.8104 0.4396 Ir
0.5604 0.1896 0.5604 Ir
0.8104 0.4396 0.8104 Ir
```

Results
- ΔE_f (meV per atom) = -617
- VASP energy (eV/atom) = -8.409
- energy above the most stable polymorph in this dataset (eV/atom) = 0.135